# SiNiF3 | Alexandria | PBE with a Hubbard U | relaxed
data_SiNiF3
_chemical_formula_sum 'Si1 Ni1 F3'
_symmetry_space_group_name_H-M 'P m -3 m'
_symmetry_Int_Tables_number 221
_symmetry_space_group_name_Hall '-P 4 2 3'
_cell_length_a 4.032
_cell_length_b 4.032
_cell_length_c 4.032
_cell_angle_alpha 90.00
_cell_angle_beta 90.00
_cell_angle_gamma 90.00
loop_
_atom_site_label
_atom_site_type_symbol
_atom_site_fract_x
_atom_site_fract_y
_atom_site_fract_z
Si1 Si 0.000 0.000 0.000
Ni1 Ni 0.500 0.500 0.500
F1 F 0.000 0.500 0.500
# energy: -3.9446 eV per atom
# energy relative to the lowest polymorph listed for this composition: 0 meV per atom
# DOS(E_F): 2.84 states/eV/cell